Record 1
This record from Alexandria describes PmHoIn2 at its PBEsol-relaxed geometry. The functional is SCAN.

Calculated values
The space-group type is No. 225. The calculation puts the energy relative to the elements at -627 meV/atom. As for the density of states at the Fermi level: 1.84 states/eV/cell. For the raw total energy, the calculation gives -162.25 eV per formula unit.

abc: 5.272 5.272 5.272
angles: 60.00 60.00 60.00
Fractional positions:
Pm 0.500 0.500 0.500
Ho 0.000 0.000 0.000
In 0.250 0.250 0.250
In 0.750 0.750 0.750

---

Record 2
This record from Alexandria describes K2SrAu at its PBEsol-relaxed geometry. The functional is SCAN.

Calculated values
The space-group type is No. 139. The calculation puts the energy relative to the elements at -96 meV/atom. As for the density of states at the Fermi level: 2.08 states/eV/cell. For the raw total energy, the calculation gives -108.48 eV per formula unit.

abc: 4.830 4.830 7.211
angles: 109.57 109.57 90.00
Fractional positions:
Au 0.000 0.000 0.000
K 0.750 0.250 0.500
K 0.250 0.750 0.500
Sr 0.500 0.500 0.000

---

Record 3
This record from Alexandria describes CuH14C3NCl3O2 at its PBEsol-relaxed geometry. The functional is SCAN.

Calculated values
The space-group type is No. 14. For the raw total energy, the calculation gives -152.73 eV per formula unit.

abc: 7.430 7.630 16.469
angles: 90.00 91.98 90.00
Each line ends with the local moment (μB).
Fractional positions:
Cu 0.000 0.000 0.000  0.68
Cu 0.500 0.500 0.500  0.69
Cu 0.500 0.000 0.000  0.69
Cu 0.000 0.500 0.500  0.68
H 0.459 0.800 0.695  0.00
H 0.107 0.418 0.270  0.00
H 0.570 0.895 0.232  0.00
H 0.430 0.395 0.268  0.00
H 0.631 0.031 0.637  0.00
H 0.602 0.818 0.484  0.00
H 0.410 0.305 0.710  0.00
H 0.764 0.050 0.730  0.00
H 0.102 0.317 0.019  0.00
H 0.977 0.240 0.310  0.00
H 0.023 0.740 0.190  0.00
H 0.602 0.682 0.984  0.00
H 0.916 0.784 0.787  0.00
H 0.236 0.950 0.270  0.00
H 0.764 0.450 0.230  0.00
H 0.590 0.695 0.290  0.00
H 0.567 0.316 0.958  0.00
H 0.410 0.195 0.210  0.00
H 0.459 0.700 0.195  0.00
H 0.433 0.816 0.542  0.00
H 0.398 0.318 0.016  0.00
H 0.898 0.683 0.981  0.00
H 0.728 0.767 0.127  0.00
H 0.102 0.183 0.519  0.00
H 0.570 0.605 0.732  0.00
H 0.893 0.918 0.230  0.00
H 0.073 0.814 0.541  0.00
H 0.898 0.817 0.481  0.00
H 0.631 0.469 0.137  0.00
H 0.073 0.686 0.041  0.00
H 0.369 0.969 0.363  0.00
H 0.107 0.082 0.770  0.00
H 0.567 0.184 0.458  0.00
H 0.433 0.684 0.042  0.00
H 0.541 0.300 0.805  0.00
H 0.272 0.267 0.373  0.00
H 0.977 0.260 0.810  0.00
H 0.127 0.986 0.365  0.00
H 0.272 0.233 0.873  0.00
H 0.084 0.216 0.213  0.00
H 0.236 0.550 0.770  0.00
H 0.893 0.582 0.730  0.00
H 0.927 0.186 0.459  0.00
H 0.430 0.105 0.768  0.00
H 0.023 0.760 0.690  0.00
H 0.084 0.284 0.713  0.00
H 0.590 0.805 0.790  0.00
H 0.873 0.014 0.635  0.00
H 0.369 0.531 0.863  0.00
H 0.873 0.486 0.135  0.00
H 0.927 0.314 0.959  0.00
H 0.127 0.514 0.865  0.00
H 0.728 0.733 0.627  0.00
H 0.916 0.716 0.287  0.00
H 0.398 0.182 0.516  0.00
H 0.541 0.200 0.305  0.00
C 0.422 0.248 0.772  0.00
C 0.753 0.514 0.170  0.00
C 0.753 0.986 0.670  0.00
C 0.247 0.486 0.830  0.00
C 0.247 0.014 0.330  0.00
C 0.578 0.748 0.728  0.00
C 0.422 0.252 0.272  0.00
C 0.906 0.774 0.226  0.00
C 0.094 0.274 0.274  0.00
C 0.094 0.226 0.774  0.00
C 0.578 0.752 0.228  0.00
C 0.906 0.726 0.726  0.00
N 0.259 0.206 0.316  0.00
N 0.741 0.706 0.184  0.00
N 0.741 0.794 0.684  0.00
N 0.259 0.294 0.816  0.00
Cl 0.745 0.001 0.416  0.01
Cl 0.217 0.009 0.100  0.08
Cl 0.783 0.991 0.900  0.08
Cl 0.783 0.509 0.400  0.08
Cl 0.217 0.491 0.600  0.08
Cl 0.300 0.587 0.400  0.08
Cl 0.255 0.501 0.084  0.01
Cl 0.300 0.913 0.900  0.08
Cl 0.700 0.087 0.100  0.08
Cl 0.745 0.499 0.916  0.01
Cl 0.255 0.999 0.584  0.01
Cl 0.700 0.413 0.600  0.08
O 0.454 0.251 0.971  0.06
O 0.040 0.252 0.475  0.06
O 0.546 0.751 0.529  0.06
O 0.546 0.749 0.029  0.06
O 0.040 0.248 0.975  0.06
O 0.960 0.748 0.525  0.06
O 0.454 0.249 0.471  0.06
O 0.960 0.752 0.025  0.06

---

Record 4
This record from Alexandria describes Li2TlRh2 at its PBEsol-relaxed geometry. The functional is SCAN.

Calculated values
The space-group type is No. 139. The calculation puts the energy relative to the elements at 196 meV/atom. As for the density of states at the Fermi level: 1.95 states/eV/cell. For the raw total energy, the calculation gives -143.70 eV per formula unit.

abc: 3.358 3.358 7.167
angles: 103.55 103.55 90.00
Fractional positions:
Tl 0.000 0.000 0.000
Rh 0.395 0.395 0.789
Rh 0.605 0.605 0.211
Li 0.250 0.750 0.500
Li 0.750 0.250 0.500

---

Record 5
This record from Alexandria describes Te2MoAsI at its PBEsol-relaxed geometry. The functional is SCAN.

Calculated values
The value obtained for the formation energy without anion corrections is 1.007 eV/atom. The space-group type is No. 123. As for the density of states at the Fermi level: 4.52 states/eV/cell. For the raw total energy, the calculation gives -161.28 eV per formula unit.

abc: 5.399 5.363 5.363
angles: 90.00 90.00 90.00
Each line ends with the local moment (μB).
Fractional positions:
I 0.500 0.000 0.000  -0.01
Mo 0.500 0.500 0.500  4.07
Te 0.000 0.000 0.500  -0.24
Te 0.000 0.500 0.000  -0.24
As 0.000 0.000 0.000  0.02

---

Record 6
This record from Alexandria describes NaScCuS3 at its PBEsol-relaxed geometry. The functional is SCAN.

Calculated values
The value obtained for the formation energy without anion corrections is -1.320 eV/atom. The space-group type is No. 63. As for the density of states at the Fermi level: 8.30 states/eV/cell. For the raw total energy, the calculation gives -70.45 eV per formula unit.

abc: 3.612 6.686 9.680
angles: 90.00 90.00 105.67
Fractional positions:
Sc 0.000 0.000 0.500
Sc 0.000 0.000 0.000
Na 0.754 0.509 0.250
Na 0.246 0.491 0.750
S 0.921 0.843 0.750
S 0.368 0.737 0.064
S 0.079 0.157 0.250
S 0.368 0.737 0.436
S 0.632 0.263 0.936
S 0.632 0.263 0.564
Cu 0.472 0.944 0.250
Cu 0.528 0.056 0.750

---

Record 7
This record from Alexandria describes Cs2KSbBr6 at its PBEsol-relaxed geometry. The functional is SCAN.

Calculated values
The value obtained for the formation energy without anion corrections is -1.464 eV/atom. The space-group type is No. 225. As for the density of states at the Fermi level: 0.00 states/eV/cell. For the raw total energy, the calculation gives -252.61 eV per formula unit.

abc: 8.260 8.260 8.260
angles: 60.00 60.00 60.00
Fractional positions:
Cs 0.750 0.750 0.750
Cs 0.250 0.250 0.250
K 0.500 0.500 0.500
Sb 0.000 0.000 0.000
Br 0.763 0.237 0.237
Br 0.763 0.763 0.237
Br 0.237 0.763 0.763
Br 0.763 0.237 0.763
Br 0.237 0.763 0.237
Br 0.237 0.237 0.763

---

Record 8
This record from Alexandria describes RbBAsN2 at its PBEsol-relaxed geometry. The functional is SCAN.

Calculated values
The value obtained for the formation energy without anion corrections is 2.288 eV/atom. The space-group type is No. 123. As for the density of states at the Fermi level: 2.51 states/eV/cell. For the raw total energy, the calculation gives -55.50 eV per formula unit.

abc: 3.725 3.725 4.623
angles: 90.00 90.00 90.00
Fractional positions:
As 0.500 0.500 0.500
B 0.000 0.000 0.000
Rb 0.000 0.000 0.500
N 0.000 0.500 0.000
N 0.500 0.000 0.000

---

Record 9
This record from Alexandria describes Mg3Tl2 at its PBEsol-relaxed geometry. The functional is SCAN.

Calculated values
The space-group type is No. 164. The calculation puts the energy relative to the elements at -95 meV/atom. As for the density of states at the Fermi level: 2.15 states/eV/cell. For the raw total energy, the calculation gives -160.11 eV per formula unit.

abc: 4.856 4.856 6.212
angles: 90.00 90.00 120.00
Fractional positions:
Tl 0.333 0.667 0.810
Tl 0.667 0.333 0.190
Mg 0.000 0.000 0.000
Mg 0.333 0.667 0.335
Mg 0.667 0.333 0.665

---

Record 10
This record from Alexandria describes Cr2FeP at its PBEsol-relaxed geometry. The functional is SCAN.

Calculated values
The space-group type is No. 99. The calculation puts the energy relative to the elements at -49 meV/atom. As for the density of states at the Fermi level: 2.80 states/eV/cell. For the raw total energy, the calculation gives -65.49 eV per formula unit.

abc: 2.805 2.805 5.387
angles: 90.00 90.00 90.00
Each line ends with the local moment (μB).
Fractional positions:
Cr 0.000 0.000 0.994  -1.22
Cr 0.500 0.500 0.239  1.69
Fe 0.000 0.000 0.518  0.64
P 0.500 0.500 0.749  0.07

---

Record 11
This record from Alexandria describes IrW2Br at its PBEsol-relaxed geometry. The functional is SCAN.

Calculated values
The value obtained for the formation energy without anion corrections is 1.111 eV/atom. The space-group type is No. 12. As for the density of states at the Fermi level: 2.48 states/eV/cell. For the raw total energy, the calculation gives -225.49 eV per formula unit.

abc: 2.846 5.048 5.048
angles: 115.84 97.99 97.99
Fractional positions:
Ir 0.500 0.000 0.000
Br 0.500 0.500 0.500
W 0.000 0.500 0.000
W 0.000 0.000 0.500

---

Record 12
This record from Alexandria describes TaTeAs2 at its PBEsol-relaxed geometry. The functional is SCAN.

Calculated values
The value obtained for the formation energy without anion corrections is -0.065 eV/atom. The space-group type is No. 99. As for the density of states at the Fermi level: 1.10 states/eV/cell. For the raw total energy, the calculation gives -144.48 eV per formula unit.

abc: 3.331 3.331 7.334
angles: 90.00 90.00 90.00
Fractional positions:
As 0.000 0.000 0.077
As 0.500 0.500 0.273
Te 0.500 0.500 0.694
Ta 0.000 0.000 0.456

---

Q: Which of these has the lowest raw total energy?
A: Cs2KSbBr6